# 1
Ho4ErHg7 | PBE | optimized geometry

```
12
Lattice="-1.341 1.207 -5.173 6.455 -4.461 -5.616 -4.110 -4.723 -2.938" Properties=species:S:1:pos:R:3 pbc="T T T"
Ho -1.865 -3.201 -6.066
Ho 2.869 -4.776 -7.661
Ho -0.107 -6.168 -10.116
Ho 1.111 -1.809 -3.611
Er 0.000 0.000 0.000
Hg 2.817 -5.448 -10.706
Hg -1.813 -2.528 -3.021
Hg 3.401 -3.764 -4.662
Hg -2.397 -4.213 -9.066
Hg -0.051 -5.469 -7.066
Hg -0.671 0.604 -2.586
Hg 1.055 -2.507 -6.661
```

Calculated values
Calculated volume in Å³ per cell: 321
Total magnetic moment in μB per atom: 0.0000
Formation energy in eV/f.u.: -3.65


# 2
Ho3Er2Hg4 | PBE | optimized geometry

```
18
Lattice="6.912 0.000 0.000 0.000 7.902 0.000 -3.456 0.000 9.014" Properties=species:S:1:pos:R:3 pbc="T T T"
Ho 0.000 0.000 0.000
Ho 3.456 3.951 0.000
Ho 1.728 5.927 4.712
Ho 5.184 1.976 4.302
Ho 1.728 1.976 4.302
Ho -1.728 5.927 4.712
Er 0.000 4.643 1.703
Er 3.456 3.259 7.311
Er 0.000 0.692 7.311
Er 3.456 7.211 1.703
Hg 1.728 5.927 7.787
Hg 5.184 1.976 1.227
Hg 1.728 1.976 1.227
Hg -1.728 5.927 7.787
Hg 0.000 7.624 2.971
Hg 3.456 0.278 6.043
Hg 0.000 3.673 6.043
Hg 3.456 4.229 2.971
```

Calculated values
Calculated volume in Å³ per cell: 492
Total magnetic moment in μB per atom: 0.0000
Formation energy in eV/f.u.: -2.79


# 3
Ho2Er6Hg | PBE | optimized geometry

```
18
Lattice="-4.821 0.543 0.538 -1.611 -8.216 -6.136 0.223 -6.240 8.297" Properties=species:S:1:pos:R:3 pbc="T T T"
Ho -5.177 -7.444 5.416
Ho -3.610 -10.739 0.637
Ho -2.599 -3.173 2.062
Ho -1.032 -6.468 -2.717
Er 0.037 -1.044 1.385
Er -0.963 -8.600 0.055
Er -0.882 -10.668 2.865
Er -2.526 -5.215 4.774
Er -2.680 -1.102 -0.755
Er -3.142 -5.916 -0.037
Er -6.246 -12.868 1.314
Er -5.246 -5.312 2.644
Er -5.327 -3.244 -0.166
Er -3.683 -8.697 -2.075
Er -3.529 -12.811 3.454
Er -3.067 -7.996 2.736
Hg -3.216 -3.836 -2.799
Hg 0.112 -3.120 4.148
```

Calculated values
Calculated volume in Å³ per cell: 526
Total magnetic moment in μB per atom: 0.0000
Formation energy in eV/f.u.: -0.30


# 4
Ho2Er3Hg4 | PBE | optimized geometry

```
18
Lattice="6.906 0.000 0.000 0.000 7.923 0.000 -3.453 0.000 8.947" Properties=species:S:1:pos:R:3 pbc="T T T"
Ho 0.000 4.662 1.698
Ho 3.453 3.261 7.249
Ho 0.000 0.701 7.249
Ho 3.453 7.223 1.698
Er 0.000 0.000 0.000
Er 3.453 3.962 0.000
Er 1.727 5.942 4.682
Er 5.180 1.981 4.265
Er 1.727 1.981 4.265
Er -1.727 5.942 4.682
Hg 1.727 5.942 7.747
Hg 5.180 1.981 1.200
Hg 1.727 1.981 1.200
Hg -1.727 5.942 7.747
Hg 0.000 7.653 2.967
Hg 3.453 0.270 5.980
Hg 0.000 3.692 5.980
Hg 3.453 4.232 2.967
```

Calculated values
Calculated volume in Å³ per cell: 490
Total magnetic moment in μB per atom: 0.0000
Formation energy in eV/f.u.: -2.89


# 5
Ho4Er3Hg4 | PBE | optimized geometry

```
11
Lattice="-1.175 5.000 0.611 -6.870 -1.591 -0.191 4.027 -2.721 8.111" Properties=species:S:1:pos:R:3 pbc="T T T"
Ho 1.630 -0.275 5.386
Ho -2.394 1.717 3.236
Ho -5.648 0.963 3.146
Ho -1.624 -1.029 5.295
Er 0.001 -0.204 1.666
Er -4.019 0.892 6.865
Er -3.435 -0.796 -0.095
Hg -3.434 -1.162 2.903
Hg -0.585 1.850 5.629
Hg -6.009 1.244 0.155
Hg -2.037 2.164 0.265
```

Calculated values
Calculated volume in Å³ per cell: 306
Total magnetic moment in μB per atom: 0.0001
Formation energy in eV/f.u.: -2.58


# 6
Ho3Er2Hg2 | PBE | optimized geometry

```
7
Lattice="5.305 0.000 0.000 -2.652 4.590 -0.318 0.000 -2.507 8.054" Properties=species:S:1:pos:R:3 pbc="T T T"
Ho 2.652 0.000 0.000
Ho 2.652 0.261 3.707
Ho 0.000 1.822 4.029
Er 2.652 3.213 1.949
Er 0.000 -1.130 5.788
Hg 2.652 0.477 6.747
Hg 0.000 1.606 0.989
```

Calculated values
Calculated volume in Å³ per cell: 192
Total magnetic moment in μB per atom: 0.0000
Formation energy in eV/f.u.: -1.67


Question: Which of these has the highest formation energy?
Answer: Ho2Er6Hg